1.
Below is crystalline MnNi2Pt at its relaxed geometry, with properties calculated at the GGA-PBE level.

The calculation puts the density of states at the Fermi level at 5.5 states/eV per cell. For the total magnetization, the calculation gives 1.211 μB per atom. The calculation puts the density at 11.9 Mg/m³. For the formation energy, the calculation gives -0.115 eV/atom.

The structure belongs to space group Pmmm (No. 47); the cell edges are 2.6920, 3.6291 and 5.2622 Å and the angles 90.00°, 90.00° and 90.00°. Symmetry generates all atoms from Mn at (0.0000, 0.0000, 0.0000), Ni at (0.5000, 0.5000, 0.2441) and Pt at (0.0000, 0.0000, 0.5000).

---

2.
Below is crystalline LiLuTlZn at its relaxed geometry, with properties calculated at the GGA-PBE level.

The calculation puts the density of states at the Fermi level at 5.8 states/eV per cell. For the total magnetization, the calculation gives 0.013 μB per atom. The calculation puts the density at 8.9 Mg/m³. For the formation energy, the calculation gives -0.245 eV/atom.

The structure belongs to space group F-43m (No. 216); the cell edges are 6.9529, 6.9529 and 6.9529 Å and the angles 90.00°, 90.00° and 90.00°. Symmetry generates all atoms from Li at (0.0000, 0.0000, 0.0000), Lu at (0.0000, 0.0000, 0.5000), Tl at (0.2500, 0.2500, 0.2500) and Zn at (0.2500, 0.2500, 0.7500).

---

3.
Below is crystalline YZnRe2 at its relaxed geometry, with properties calculated at the GGA-PBE level.

The calculation puts the density of states at the Fermi level at 8.0 states/eV per cell. For the total magnetization, the calculation gives 0.000 μB per atom. The calculation puts the density at 12.5 Mg/m³. For the formation energy, the calculation gives 0.405 eV/atom.

The structure belongs to space group Immm (No. 71); the cell edges are 3.2995, 4.4913 and 9.4442 Å and the angles 90.00°, 90.00° and 90.00°. Symmetry generates all atoms from Y at (0.0000, 0.0000, 0.0000), Zn at (0.0000, 0.0000, 0.5000) and Re at (0.0000, 0.5000, 0.2424).